Compound: Ni2MoO
Source: Alexandria via LeMat-Bulk
Functional: PBE+U
Structure: optimized geometry

CIF file:
```
data_Ni2MoO
_chemical_formula_sum 'Ni8 Mo4 O4'
_space_group_name_H-M_alt 'I 41/a m d'
_space_group_IT_number 141
_cell_length_a 6.3693
_cell_length_b 6.3693
_cell_length_c 6.7204
_cell_angle_alpha 90.00
_cell_angle_beta 90.00
_cell_angle_gamma 90.00
loop_
_space_group_symop_operation_xyz
'x,y,z'
'-x,-y,-z'
'-y+1/4,x+3/4,z+1/4'
'y+1/4,-x+3/4,-z+1/4'
'-x+1/2,-y,z+1/2'
'x+1/2,y,-z+1/2'
'y+1/4,-x+1/4,z+3/4'
'-y+1/4,x+1/4,-z+3/4'
'x,-y,-z'
'-x,y,z'
'-y+1/4,-x+1/4,-z+3/4'
'y+1/4,x+1/4,z+3/4'
'-x+1/2,y,-z+1/2'
'x+1/2,-y,z+1/2'
'y+1/4,x+3/4,-z+1/4'
'-y+1/4,-x+3/4,z+1/4'
'x+1/2,y+1/2,z+1/2'
'-x+1/2,-y+1/2,-z+1/2'
'-y+3/4,x+1/4,z+3/4'
'y+3/4,-x+1/4,-z+3/4'
'-x,-y+1/2,z'
'x,y+1/2,-z'
'y+3/4,-x+3/4,z+1/4'
'-y+3/4,x+3/4,-z+1/4'
'x+1/2,-y+1/2,-z+1/2'
'-x+1/2,y+1/2,z+1/2'
'-y+3/4,-x+3/4,-z+1/4'
'y+3/4,x+3/4,z+1/4'
'-x,y+1/2,-z'
'x,-y+1/2,z'
'y+3/4,x+1/4,-z+3/4'
'-y+3/4,-x+1/4,z+3/4'
loop_
_atom_site_label
_atom_site_fract_x
_atom_site_fract_y
_atom_site_fract_z
Ni1 0.0000 0.0000 0.0000
Mo1 0.0000 0.2500 0.3750
O1 0.0000 0.2500 0.8750
```

Energy = -3.692 eV/atom
Volume = 17.04 Å³ per atom